This record from Alexandria describes a relaxed structure of MgFe2O5. The functional is PBE with a Hubbard U.

## Properties
Total DFT energy (no corrections) ... -0.452 Ry/atom
Space group ... Cmcm
Total magnetization ... 16.0 μB/cell
DOS(E_F) ... 3.066 states/eV/f.u.

Geometry as POSCAR:
```
MgFe2O5
1.0
1.948 -4.878 0.000
1.948 4.878 0.000
0.000 0.000 9.779
Mg Fe O
2 4 10
Direct
0.203 0.797 0.750
0.797 0.203 0.250
0.139 0.861 0.061
0.139 0.861 0.439
0.861 0.139 0.561
0.861 0.139 0.939
0.046 0.954 0.614
0.046 0.954 0.886
0.216 0.784 0.250
0.309 0.691 0.558
0.309 0.691 0.942
0.691 0.309 0.058
0.691 0.309 0.442
0.784 0.216 0.750
0.954 0.046 0.114
0.954 0.046 0.386
```